PBE KHoSeO, relaxed; relative energy among the computed polymorphs = 5 meV/atom
1.0
-1.846 4.788 2.650
1.192 -2.373 5.118
11.317 1.673 -1.859
Ho O K Se
4 4 4 4
direct
0.046 0.853 0.090 Ho
0.546 0.353 0.090 Ho
0.954 0.353 0.910 Ho
0.454 0.853 0.910 Ho
0.750 0.101 0.000 O
0.250 0.601 0.000 O
0.250 0.100 0.000 O
0.750 0.600 0.000 O
0.558 0.123 0.604 K
0.442 0.623 0.396 K
0.942 0.123 0.396 K
0.058 0.623 0.604 K
0.880 0.623 0.284 Se
0.619 0.624 0.716 Se
0.120 0.123 0.716 Se
0.381 0.124 0.284 Se

First-principles (PBE) data for a relaxed Nb2Sn2Os3 crystal, as listed in the Open Quantum Materials Database.

```
Nb2Sn2Os3
1.0
5.005 -5.794 -0.967
1.797 -7.288 1.791
1.075 -7.173 -2.636
Sn Nb Os
2 2 3
direct
0.008 0.008 0.008 Sn
0.495 0.495 0.495 Sn
0.753 0.753 0.753 Nb
0.246 0.246 0.246 Nb
0.876 0.876 0.876 Os
0.625 0.625 0.625 Os
0.372 0.372 0.372 Os
```

The following uncorrected energy values (in eV per atom) correspond, in order, to the records above: -5.80; -8.91.
The following spin magnetization values (in μB per cell) correspond, in order, to the records above: 0.00; 0.01.